No. 1
{"formula": "BeInAs2W", "functional": "GGA-PBEsol", "state": "relaxed", "sg": "No. 123", "energy_ev_per_fu": -26.536, "cell": [[-1.2271, 3.7201, -1.8508], [-3.9160, -0.3902, 1.8120], [1.4804, 2.3296, 3.7010]], "species": ["As", "Be", "W", "As", "In"], "fractional_positions": [[0.0000, 0.5000, 0.0000], [0.0000, 0.0000, 0.0000], [0.0000, 0.0000, 0.5000], [0.5000, 0.0000, 0.0000], [0.5000, 0.5000, 0.5000]]}

=====

No. 2
{"formula": "Ag2PtAu", "functional": "GGA-PBEsol", "state": "relaxed", "sg": "No. 216", "energy_ev_per_fu": -17.368, "cell": [[4.5104, 0.0000, 0.0000], [2.2552, 3.9061, 0.0000], [2.2552, 1.3020, 3.6827]], "species": ["Au", "Ag", "Ag", "Pt"], "fractional_positions": [[0.5000, 0.5000, 0.5000], [0.7500, 0.7500, 0.7500], [0.0000, 0.0000, 0.0000], [0.2500, 0.2500, 0.2500]]}

=====

No. 3
{"formula": "NaCa9CoP7O28", "functional": "GGA-PBEsol", "state": "relaxed", "e_form_raw_ev_per_atom": -2.78, "sg": "No. 161", "energy_ev_per_fu": -343.524, "cell": [[10.3100, 0.0000, 0.0000], [5.1550, 8.9288, 0.0000], [5.1550, 2.9763, 12.2843]], "species": ["O", "O", "O", "O", "O", "P", "Ca", "Ca", "O", "Ca", "O", "O", "O", "P", "O", "Ca", "Ca", "O", "O", "Na", "Ca", "O", "O", "O", "O", "Ca", "O", "Ca", "P", "O", "O", "Na", "Ca", "O", "O", "Ca", "O", "Co", "O", "O", "Ca", "P", "O", "P", "P", "O", "O", "P", "Co", "O", "O", "O", "O", "P", "O", "P", "O", "Ca", "Ca", "Ca", "O", "O", "O", "O", "O", "O", "O", "O", "O", "O", "O", "O", "O", "P", "P", "O", "O", "Ca", "O", "O", "P", "O", "P", "Ca", "Ca", "O", "O", "O", "O", "O", "Ca", "P"], "fractional_positions": [[0.5819, 0.1446, 0.0272], [0.8889, 0.6076, 0.3403], [0.3861, 0.8273, 0.9763], [0.8273, 0.8103, 0.9763], [0.1493, 0.6182, 0.8682], [0.2259, 0.6751, 0.9106], [0.9355, 0.9245, 0.8034], [0.5581, 0.1510, 0.6987], [0.3839, 0.6323, 0.6216], [0.0515, 0.0276, 0.4801], [0.7424, 0.6051, 0.7634], [0.8891, 0.7424, 0.7634], [0.1195, 0.1256, 0.9020], [0.1884, 0.2259, 0.9106], [0.6897, 0.6897, 0.9310], [0.1510, 0.5921, 0.6987], [0.0921, 0.6510, 0.1987], [0.8644, 0.1182, 0.3682], [0.9155, 0.5981, 0.1349], [0.3107, 0.3107, 0.0679], [0.0581, 0.0921, 0.1987], [0.4155, 0.8516, 0.6349], [0.6051, 0.8891, 0.7634], [0.5981, 0.3516, 0.1349], [0.1182, 0.6493, 0.3682], [0.3366, 0.9355, 0.8034], [0.3529, 0.6256, 0.4020], [0.5921, 0.5581, 0.6987], [0.6751, 0.1884, 0.9106], [0.6323, 0.3623, 0.6216], [0.1897, 0.1897, 0.4310], [0.8107, 0.8107, 0.5679], [0.9245, 0.3366, 0.8034], [0.3273, 0.8861, 0.4763], [0.2424, 0.3891, 0.2634], [0.5276, 0.5515, 0.9801], [0.8529, 0.1195, 0.9020], [0.9971, 0.9971, 0.0088], [0.1256, 0.8529, 0.9020], [0.3103, 0.3273, 0.4763], [0.6510, 0.0581, 0.1987], [0.6884, 0.1751, 0.4106], [0.6446, 0.0819, 0.5272], [0.8112, 0.2727, 0.5987], [0.3174, 0.8112, 0.5987], [0.3891, 0.1051, 0.2634], [0.0819, 0.7462, 0.5272], [0.7259, 0.6884, 0.4106], [0.4971, 0.4971, 0.5088], [0.8516, 0.0981, 0.6349], [0.6182, 0.3644, 0.8682], [0.1461, 0.8701, 0.6589], [0.1051, 0.2424, 0.2634], [0.2315, 0.2315, 0.3054], [0.6195, 0.3529, 0.4020], [0.7727, 0.3112, 0.0987], [0.6632, 0.1076, 0.8403], [0.8366, 0.4245, 0.3034], [0.0276, 0.4409, 0.4801], [0.4245, 0.4355, 0.3034], [0.3889, 0.6632, 0.8403], [0.2462, 0.5819, 0.0272], [0.3250, 0.1461, 0.6589], [0.1446, 0.2462, 0.0272], [0.8839, 0.8623, 0.1216], [0.1632, 0.8889, 0.3403], [0.6461, 0.8250, 0.1589], [0.1323, 0.8839, 0.1216], [0.8701, 0.3250, 0.6589], [0.6493, 0.8644, 0.3682], [0.8250, 0.3701, 0.1589], [0.3516, 0.9155, 0.1349], [0.3623, 0.3839, 0.6216], [0.1751, 0.7259, 0.4106], [0.3112, 0.8174, 0.0987], [0.8103, 0.3861, 0.9763], [0.1076, 0.3889, 0.8403], [0.5515, 0.9409, 0.9801], [0.8623, 0.1323, 0.1216], [0.3644, 0.1493, 0.8682], [0.8174, 0.7727, 0.0987], [0.6076, 0.1632, 0.3403], [0.7315, 0.7315, 0.8054], [0.4409, 0.0515, 0.4801], [0.9409, 0.5276, 0.9801], [0.6256, 0.6195, 0.4020], [0.3701, 0.6461, 0.1589], [0.8861, 0.3103, 0.4763], [0.7462, 0.6446, 0.5272], [0.0981, 0.4155, 0.6349], [0.4355, 0.8366, 0.3034], [0.2727, 0.3174, 0.5987]]}

=====

No. 4
{"formula": "FeSiAu", "functional": "GGA-PBEsol", "state": "relaxed", "e_form_raw_ev_per_atom": -0.04, "sg": "No. 107", "energy_ev_per_fu": -18.751, "cell": [[-2.6188, 0.0556, 1.1782], [-1.1793, -0.1783, -2.6128], [1.9363, -4.6717, 1.0236]], "species": ["Si", "Au", "Fe"], "fractional_positions": [[0.3048, 0.3048, 0.6096], [0.9963, 0.9963, 0.9926], [0.6989, 0.6989, 0.3978]]}

=====

No. 5
{"formula": "FeIrBr2", "functional": "GGA-PBEsol", "state": "relaxed", "e_form_raw_ev_per_atom": 1.00, "sg": "No. 225", "energy_ev_per_fu": -18.539, "cell": [[-2.6521, -1.1039, -3.5008], [1.8288, -1.6975, -3.7791], [-0.6431, -4.3533, -1.0691]], "species": ["Br", "Ir", "Fe", "Br"], "fractional_positions": [[0.2500, 0.2500, 0.2500], [0.0000, 0.0000, 0.0000], [0.5000, 0.5000, 0.5000], [0.7500, 0.7500, 0.7500]]}

=====

No. 6
{"formula": "LiCaTc2", "functional": "GGA-PBEsol", "state": "relaxed", "sg": "No. 47", "energy_ev_per_fu": -24.355, "cell": [[-0.6305, -2.0695, 1.4029], [2.5323, -2.8430, -3.0560], [4.2064, 0.6631, 2.8686]], "species": ["Tc", "Li", "Tc", "Ca"], "fractional_positions": [[0.0000, 0.0000, 0.7484], [0.5000, 0.5000, 0.5000], [0.0000, 0.0000, 0.2516], [0.5000, 0.5000, 0.0000]]}